The following is a DFT calculation (GGA+U) of crystalline CaNi2RuO at its relaxed geometry.

Cell and atoms, written as CIF:
```
data_CaNi2RuO
_chemical_formula_sum 'Ca1 Ni2 Ru1 O1'
_symmetry_space_group_name_H-M 'P 4/m m m'
_symmetry_Int_Tables_number 123
_symmetry_space_group_name_Hall '-P 4 2'
_cell_length_a 4.8948
_cell_length_b 4.8948
_cell_length_c 3.7533
_cell_angle_alpha 90.00
_cell_angle_beta 90.00
_cell_angle_gamma 90.00
loop_
_atom_site_label
_atom_site_type_symbol
_atom_site_fract_x
_atom_site_fract_y
_atom_site_fract_z
Ca1 Ca 0.0000 0.0000 0.0000
Ni1 Ni 0.0000 0.5000 0.5000
Ru1 Ru 0.5000 0.5000 0.5000
O1 O 0.5000 0.5000 0.0000
```

Properties
- total magnetization (μB per atom) = 0.399
- energy (eV for the cell shown) = -20.5
- V (Å³ per cell) = 90
- DOS at the Fermi energy (states/eV/f.u.) = 2.09